First-principles (PBE with a Hubbard U) data for a geometry-optimized V2Se2O9 structure, as listed in the Alexandria database.

a = 8.1943 Å, b = 8.7958 Å, c = 10.5265 Å
α = 90.00°, β = 90.00°, γ = 102.21°
Fractional coordinates of all 52 atoms:
V 0.8426 0.7183 0.4674
V 0.6574 0.7817 0.9674
V 0.1574 0.2817 0.5326
V 0.3426 0.2183 0.0326
V 0.7747 0.2926 0.3977
V 0.7253 0.2074 0.8977
V 0.2253 0.7074 0.6023
V 0.2747 0.7926 0.1023
Se 0.8912 0.6365 0.1632
Se 0.6088 0.8635 0.6632
Se 0.1088 0.3635 0.8368
Se 0.3912 0.1365 0.3368
Se 0.4388 0.6252 0.3438
Se 0.0612 0.8748 0.8438
Se 0.5612 0.3748 0.6562
Se 0.9388 0.1252 0.1562
O 0.9311 0.8841 0.4099
O 0.5689 0.6159 0.9099
O 0.0689 0.1159 0.5901
O 0.4311 0.3841 0.0901
O 0.8358 0.5805 0.3218
O 0.6642 0.9195 0.8218
O 0.1642 0.4195 0.6782
O 0.3358 0.0805 0.1782
O 0.6031 0.7350 0.4251
O 0.8969 0.7650 0.9251
O 0.3969 0.2650 0.5749
O 0.1031 0.2350 0.0749
O 0.7694 0.7655 0.6377
O 0.7306 0.7345 0.1377
O 0.2306 0.2344 0.3623
O 0.2694 0.2656 0.8623
O 0.0111 0.6530 0.5433
O 0.4889 0.8470 0.0433
O 0.9889 0.3470 0.4567
O 0.5111 0.1530 0.9567
O 0.7046 0.4235 0.5304
O 0.7954 0.0765 0.0304
O 0.2954 0.5765 0.4696
O 0.2046 0.9235 0.9696
O 0.5563 0.2929 0.3143
O 0.9437 0.2071 0.8143
O 0.4437 0.7071 0.6857
O 0.0563 0.7929 0.1857
O 0.8599 0.2734 0.2271
O 0.6401 0.2266 0.7271
O 0.1401 0.7266 0.7729
O 0.3599 0.7734 0.2729
O 0.7195 0.1177 0.4516
O 0.7805 0.3823 0.9516
O 0.2805 0.8823 0.5484
O 0.2195 0.6177 0.0484

Calculated values
Density: 3.617 Mg/m³
N(E_F): 0.0 states/eV per cell
Uncorrected energy: -83.3 eV/f.u.